VASP calculation (PBE) on CsP2Ru2 after structural relaxation.

Crystal system: tetragonal
Calculated volume (A^3/atom): 22.58
Energy relative to the elements (eV/atom): -0.1794
DOS at the Fermi energy (states/eV/cell): 3.7

a = 3.9479 Å, b = 3.9479 Å, c = 7.2448 Å
α = 90.00°, β = 90.00°, γ = 90.00°
Fractional coordinates of all 5 atoms:
P 0.5000 0.5000 0.6849
P 0.5000 0.5000 0.3151
Ru 0.5000 0.0000 0.5000
Ru 0.0000 0.5000 0.5000
Cs 0.0000 0.0000 0.0000

---

VASP calculation (PBE) on CaCr3Rh after structural relaxation.

Crystal system: cubic
Calculated volume (A^3/atom): 19.11
Energy relative to the elements (eV/atom): 2.3170
DOS at the Fermi energy (states/eV/cell): 9.1
Excess energy over the best structure of this formula in the dataset (meV/atom): 1429.8

a = 4.5718 Å, b = 4.5718 Å, c = 4.5718 Å
α = 90.00°, β = 90.00°, γ = 90.00°
Fractional coordinates of all 5 atoms:
Rh 0.5000 0.5000 0.5000
Cr 0.5000 0.0000 0.0000
Cr 0.0000 0.0000 0.5000
Cr 0.0000 0.5000 0.0000
Ca 0.0000 0.0000 0.0000

---

VASP calculation (PBE) on HgSbAu2 after structural relaxation.

Crystal system: trigonal
Calculated volume (A^3/atom): 23.74
Formation energy (no corrections) (eV/atom): 0.036
DOS at the Fermi energy (states/eV/cell): 1.4
Excess energy over the best structure of this formula in the dataset (meV/atom): 13.1

a = 3.9542 Å, b = 3.9542 Å, c = 7.3765 Å
α = 74.45°, β = 74.45°, γ = 60.00°
Fractional coordinates of all 4 atoms:
Hg 0.4984 0.4984 0.5048
Sb 0.6681 0.6681 0.9957
Au 0.2519 0.2519 0.2444
Au 0.0816 0.0816 0.7551

---

VASP calculation (PBE) on ScPaCrS6 after structural relaxation.

Crystal system: trigonal
Calculated volume (A^3/atom): 21.92
Formation energy (no corrections) (eV/atom): -1.148
DOS at the Fermi energy (states/eV/cell): 4.6

a = 5.7910 Å, b = 6.2725 Å, c = 6.2725 Å
α = 120.00°, β = 90.00°, γ = 90.00°
Fractional coordinates of all 9 atoms:
Pa 0.0000 0.3333 0.6667
S 0.7381 0.3104 0.0020
S 0.7381 0.6915 0.6896
S 0.2619 0.3104 0.3085
S 0.2619 0.9980 0.6896
S 0.7381 0.9980 0.3085
S 0.2619 0.6915 0.0020
Sc 0.5000 0.6667 0.3333
Cr 0.5000 0.0000 0.0000

---

VASP calculation (PBE) on Be4Br after structural relaxation.

Crystal system: cubic
Calculated volume (A^3/atom): 14.61
Formation energy (no corrections) (eV/atom): 1.462
DOS at the Fermi energy (states/eV/cell): 1.7
Excess energy over the best structure of this formula in the dataset (meV/atom): 804.2

a = 4.5617 Å, b = 4.5617 Å, c = 4.5617 Å
α = 109.47°, β = 109.47°, γ = 109.47°
Fractional coordinates of all 5 atoms:
Be 0.0000 0.0000 0.5000
Be 0.0000 0.5000 0.0000
Be 0.5000 0.0000 0.0000
Be 0.5000 0.5000 0.5000
Br 0.0000 0.0000 0.0000

---

VASP calculation (PBE) on KSe3Br after structural relaxation.

Crystal system: cubic
Calculated volume (A^3/atom): 50.94
Formation energy (no corrections) (eV/atom): 0.866
DOS at the Fermi energy (states/eV/cell): 4.4
Excess energy over the best structure of this formula in the dataset (meV/atom): 681.1

a = 6.3389 Å, b = 6.3389 Å, c = 6.3389 Å
α = 90.00°, β = 90.00°, γ = 90.00°
Fractional coordinates of all 5 atoms:
K 0.0000 0.0000 0.0000
Br 0.5000 0.5000 0.5000
Se 0.0000 0.5000 0.0000
Se 0.5000 0.0000 0.0000
Se 0.0000 0.0000 0.5000

---

VASP calculation (PBE) on La4OsBrCl2 after structural relaxation.

Crystal system: monoclinic
Calculated volume (A^3/atom): 28.58
Formation energy (no corrections) (eV/atom): -1.186
DOS at the Fermi energy (states/eV/cell): 6.1

a = 4.1430 Å, b = 7.8903 Å, c = 7.3417 Å
α = 107.71°, β = 90.00°, γ = 90.00°
Fractional coordinates of all 8 atoms:
La 0.0000 0.7112 0.2211
La 0.5000 0.7167 0.7475
La 0.5000 0.2833 0.2525
La 0.0000 0.2888 0.7789
Cl 0.0000 0.5000 0.5000
Cl 0.5000 0.0000 0.5000
Br 0.0000 0.0000 0.0000
Os 0.5000 0.5000 0.0000

---

VASP calculation (PBE) on K2ZrCdSe4 after structural relaxation.

Crystal system: monoclinic
Calculated volume (A^3/atom): 28.01
Formation energy (no corrections) (eV/atom): -1.126

a = 4.0484 Å, b = 7.3161 Å, c = 7.9818 Å
α = 108.61°, β = 90.00°, γ = 90.00°
Fractional coordinates of all 8 atoms:
Se 0.5000 0.7555 0.8104
Se 0.0000 0.7111 0.2053
Se 0.5000 0.2445 0.1896
Se 0.0000 0.2889 0.7947
K 0.0000 0.5000 0.5000
K 0.5000 0.0000 0.5000
Cd 0.0000 0.0000 0.0000
Zr 0.5000 0.5000 0.0000